A plane-wave DFT calculation with PBE was carried out for a relaxed structure of CaTiP3.

The formation energy comes out at -0.4394 eV/atom. For the total magnetization, the calculation gives 0.0000 μB per atom.

It has space group Pm-3m (No. 221), with a = 4.7329 Å, b = 4.7329 Å, c = 4.7329 Å, α = 90.00°, β = 90.00° and γ = 90.00°. Symmetry generates all atoms from Ca at (0.0000, 0.0000, 0.0000), Ti at (0.5000, 0.5000, 0.5000) and P at (0.0000, 0.5000, 0.5000).

---

A plane-wave DFT calculation with PBE was carried out for a relaxed structure of SrAlSb2.

The raw formation energy is -90.0 meV per atom. For the total magnetization, the calculation gives 0.0000 μB per atom.

It has space group P4mm (No. 99), with a = 3.5623 Å, b = 3.5623 Å, c = 9.0979 Å, α = 90.00°, β = 90.00° and γ = 90.00°. Symmetry generates all atoms from Sr at (0.0000, 0.0000, 0.0000), Al at (0.5000, 0.5000, 0.2646), Sb at (0.0000, 0.0000, 0.4234) and Sb at (0.5000, 0.5000, 0.7377).

---

A plane-wave DFT calculation with PBE was carried out for a relaxed structure of Nb2RhWN.

The raw formation energy is -399.5 meV per atom. For the total magnetization, the calculation gives 0.0000 μB per atom.

It has space group P4/mmm (No. 123), with a = 4.2571 Å, b = 4.2571 Å, c = 4.0672 Å, α = 90.00°, β = 90.00° and γ = 90.00°. Symmetry generates all atoms from Nb at (0.0000, 0.5000, 0.0000), Rh at (0.0000, 0.0000, 0.5000), W at (0.5000, 0.5000, 0.5000) and N at (0.5000, 0.5000, 0.0000).

---

A plane-wave DFT calculation with PBE was carried out for a relaxed structure of MgCo2Ge.

The formation energy comes out at -0.1149 eV/atom. For the total magnetization, the calculation gives 0.0310 μB per atom.

It has space group P4/mmm (No. 123), with a = 2.9426 Å, b = 2.9426 Å, c = 5.9045 Å, α = 90.00°, β = 90.00° and γ = 90.00°. Symmetry generates all atoms from Mg at (0.0000, 0.0000, 0.0000), Co at (0.5000, 0.5000, 0.2790) and Ge at (0.0000, 0.0000, 0.5000).

---

A plane-wave DFT calculation with PBE was carried out for a relaxed structure of Li2ZrTa.

The formation energy comes out at 0.3501 eV/atom. For the total magnetization, the calculation gives 0.0000 μB per atom.

It has space group C2/m (No. 12), with a = 5.6196 Å, b = 10.7514 Å, c = 2.7465 Å, α = 90.00°, β = 112.58° and γ = 90.00°. Symmetry generates all atoms from Li at (0.2500, 0.2500, 0.0000), Zr at (0.0000, 0.0000, 0.5000) and Ta at (0.0000, 0.5000, 0.5000).

---

A plane-wave DFT calculation with PBE was carried out for a relaxed structure of Pm4DySc3.

The formation energy comes out at 0.2972 eV/atom. For the total magnetization, the calculation gives 0.0000 μB per atom.

It has space group C2/m (No. 12), with a = 27.1765 Å, b = 3.4642 Å, c = 5.6658 Å, α = 90.00°, β = 93.74° and γ = 90.00°. Symmetry generates all atoms from Pm at (0.1002, 0.0000, 0.0290), Pm at (0.1895, 0.0000, 0.5605), Dy at (0.0000, 0.0000, 0.5000), Sc at (0.0000, 0.5000, 0.0000) and Sc at (0.2057, 0.5000, 0.0699).

---

A plane-wave DFT calculation with PBE was carried out for a relaxed structure of NiRuSN2.

The raw formation energy is 1437.9 meV per atom. For the total magnetization, the calculation gives 0.1800 μB per atom.

It has space group P4/mmm (No. 123), with a = 3.5951 Å, b = 3.5951 Å, c = 4.6978 Å, α = 90.00°, β = 90.00° and γ = 90.00°. Symmetry generates all atoms from Ni at (0.0000, 0.0000, 0.0000), Ru at (0.5000, 0.5000, 0.5000), S at (0.0000, 0.0000, 0.5000) and N at (0.0000, 0.5000, 0.0000).

---

A plane-wave DFT calculation with PBE was carried out for a relaxed structure of Zn6Ga.

The formation energy comes out at 0.0688 eV/atom. For the total magnetization, the calculation gives 0.0000 μB per atom.

It has space group P4/nbm (No. 125, origin choice 2), with a = 5.2780 Å, b = 5.2780 Å, c = 8.3342 Å, α = 90.00°, β = 90.00° and γ = 90.00°. Symmetry generates all atoms from Zn at (0.0765, 0.5765, 0.1394), Zn at (0.2500, 0.2500, 0.3532) and Ga at (0.2500, 0.7500, 0.5000).

---

A plane-wave DFT calculation with PBE was carried out for a relaxed structure of CaLa2AlIr.

The formation energy comes out at -0.3746 eV/atom. For the total magnetization, the calculation gives 0.0000 μB per atom.

It has space group P4/mmm (No. 123), with a = 5.6488 Å, b = 5.6488 Å, c = 4.9687 Å, α = 90.00°, β = 90.00° and γ = 90.00°. Symmetry generates all atoms from Ca at (0.0000, 0.0000, 0.0000), La at (0.0000, 0.5000, 0.5000), Al at (0.5000, 0.5000, 0.0000) and Ir at (0.5000, 0.5000, 0.5000).

---

A plane-wave DFT calculation with PBE was carried out for a relaxed structure of SbPdS2N.

The raw formation energy is 671.1 meV per atom. For the total magnetization, the calculation gives 0.1001 μB per atom.

It has space group P4/mmm (No. 123), with a = 4.9444 Å, b = 4.9444 Å, c = 3.7374 Å, α = 90.00°, β = 90.00° and γ = 90.00°. Symmetry generates all atoms from Sb at (0.0000, 0.0000, 0.0000), Pd at (0.5000, 0.5000, 0.5000), S at (0.0000, 0.5000, 0.5000) and N at (0.5000, 0.5000, 0.0000).

---

A plane-wave DFT calculation with PBE was carried out for a relaxed structure of HgHN2O.

As for the total DFT energy (no corrections): -12.77 eV per cell. For the total magnetization, the calculation gives 1.1525 μB per atom.

It has space group P4/mmm (No. 123), with a = 4.5458 Å, b = 4.5458 Å, c = 4.3207 Å, α = 90.00°, β = 90.00° and γ = 90.00°. Symmetry generates all atoms from Hg at (0.0000, 0.0000, 0.0000), H at (0.5000, 0.5000, 0.5000), N at (0.0000, 0.5000, 0.0000) and O at (0.0000, 0.0000, 0.5000).

---

A plane-wave DFT calculation with PBE was carried out for a relaxed structure of CaSiRu3.

The raw formation energy is 258.7 meV per atom. For the total magnetization, the calculation gives 0.2581 μB per atom.

It has space group Pm-3m (No. 221), with a = 4.4950 Å, b = 4.4950 Å, c = 4.4950 Å, α = 90.00°, β = 90.00° and γ = 90.00°. Symmetry generates all atoms from Ca at (0.0000, 0.0000, 0.0000), Si at (0.5000, 0.5000, 0.5000) and Ru at (0.0000, 0.5000, 0.5000).

---

Q: total magnetization of number 1 (CaTiP3)?
A: 0.0000 μB per atom

---

Q: What is the total magnetization in the first record?
A: 0.0000 μB per atom